Record 1
The following is a PBE calculation of Li3AgAu after structural relaxation, from Alexandria.

Structure (CIF):
```
data_Li3AgAu
_cell_length_a 4.8100
_cell_length_b 4.8100
_cell_length_c 4.8100
_cell_angle_alpha 90.00
_cell_angle_beta 90.00
_cell_angle_gamma 90.00
_symmetry_space_group_name_H-M 'P m -3 m'
_symmetry_Int_Tables_number 221
_symmetry_space_group_name_Hall '-P 4 2 3'
loop_
_atom_site_label
_atom_site_fract_x
_atom_site_fract_y
_atom_site_fract_z
Li1 0.0000 0.0000 0.5000
Ag1 0.5000 0.5000 0.5000
Au1 0.0000 0.0000 0.0000
```

Properties
Energy ... -2.42 eV per atom
M_tot ... 0.00 Bohr magnetons per cell
Relative energy among the computed polymorphs ... 0.3111 eV/atom
N(E_F) ... 0.51 states/eV/atom


Record 2
The following is a PBE calculation of Li2Ag3Au7 after structural relaxation, from Alexandria.

Structure (CIF):
```
data_Li2Ag3Au7
_cell_length_a 4.7358
_cell_length_b 20.7846
_cell_length_c 4.7656
_cell_angle_alpha 90.00
_cell_angle_beta 90.00
_cell_angle_gamma 90.00
_symmetry_space_group_name_H-M 'C m m m'
_symmetry_Int_Tables_number 65
_symmetry_space_group_name_Hall '-C 2 2'
loop_
_atom_site_label
_atom_site_fract_x
_atom_site_fract_y
_atom_site_fract_z
Li1 0.0000 0.1480 0.0000
Ag1 0.0000 0.3490 0.5000
Ag2 0.0000 0.5000 0.5000
Au1 0.0000 0.0000 0.0000
Au2 0.0000 0.0770 0.5000
Au3 0.0000 0.2828 0.0000
Au4 0.0000 0.4227 0.0000
```

Properties
Energy ... -3.03 eV per atom
M_tot ... 0.00 Bohr magnetons per cell
N(E_F) ... 0.23 states/eV/atom


Record 3
The following is a PBE calculation of LiAg8Au5 after structural relaxation, from Alexandria.

Structure (CIF):
```
data_LiAg8Au5
_cell_length_a 7.8979
_cell_length_b 7.8979
_cell_length_c 8.5238
_cell_angle_alpha 90.00
_cell_angle_beta 90.00
_cell_angle_gamma 90.00
_symmetry_space_group_name_H-M 'I -4'
_symmetry_Int_Tables_number 82
_symmetry_space_group_name_Hall 'I -4'
loop_
_atom_site_label
_atom_site_fract_x
_atom_site_fract_y
_atom_site_fract_z
Li1 0.0000 0.0000 0.0000
Ag1 0.0675 0.8325 0.3461
Ag2 0.0986 0.6861 0.9968
Au1 0.0000 0.5000 0.2500
Au2 0.1206 0.7064 0.6711
```

Properties
Energy ... -2.89 eV per atom
M_tot ... 0.00 Bohr magnetons per cell
N(E_F) ... 0.48 states/eV/atom


Record 4
The following is a PBE calculation of LiAgAu after structural relaxation, from Alexandria.

Structure (CIF):
```
data_LiAgAu
_cell_length_a 4.4999
_cell_length_b 4.4999
_cell_length_c 2.8490
_cell_angle_alpha 90.00
_cell_angle_beta 90.00
_cell_angle_gamma 120.00
_symmetry_space_group_name_H-M 'P 3 m 1'
_symmetry_Int_Tables_number 156
_symmetry_space_group_name_Hall 'P 3 -2"'
loop_
_atom_site_label
_atom_site_fract_x
_atom_site_fract_y
_atom_site_fract_z
Li1 0.0000 0.0000 0.0000
Ag1 0.6667 0.3333 0.2812
Au1 0.3333 0.6667 0.7278
```

Properties
Energy ... -2.98 eV per atom
M_tot ... 0.00 Bohr magnetons per cell
Relative energy among the computed polymorphs ... 0.0209 eV/atom
N(E_F) ... 0.36 states/eV/atom


Record 5
The following is a PBE calculation of Li5AgAu after structural relaxation, from Alexandria.

Structure (CIF):
```
data_Li5AgAu
_cell_length_a 6.9453
_cell_length_b 6.8835
_cell_length_c 10.1267
_cell_angle_alpha 90.00
_cell_angle_beta 100.92
_cell_angle_gamma 90.00
_symmetry_space_group_name_H-M 'C 1 2/c 1'
_symmetry_Int_Tables_number 15
_symmetry_space_group_name_Hall '-C 2yc'
loop_
_atom_site_label
_atom_site_fract_x
_atom_site_fract_y
_atom_site_fract_z
Li1 0.0000 0.0067 0.2500
Li2 0.1480 0.3638 0.5613
Li3 0.2192 0.2897 0.8654
Ag1 0.0000 0.3990 0.2500
Au1 0.0000 0.0000 0.0000
```

Properties
Energy ... -2.49 eV per atom
M_tot ... 0.00 Bohr magnetons per cell
Relative energy among the computed polymorphs ... 0.0000 eV/atom
N(E_F) ... 0.23 states/eV/atom


Record 6
The following is a PBE calculation of LiAg2Au after structural relaxation, from Alexandria.

Structure (CIF):
```
data_LiAg2Au
_cell_length_a 6.5020
_cell_length_b 6.5020
_cell_length_c 6.5020
_cell_angle_alpha 90.00
_cell_angle_beta 90.00
_cell_angle_gamma 90.00
_symmetry_space_group_name_H-M 'F -4 3 m'
_symmetry_Int_Tables_number 216
_symmetry_space_group_name_Hall 'F -4 2 3'
loop_
_atom_site_label
_atom_site_fract_x
_atom_site_fract_y
_atom_site_fract_z
Li1 0.0000 0.0000 0.0000
Ag1 0.0000 0.0000 0.5000
Ag2 0.2500 0.2500 0.7500
Au1 0.2500 0.2500 0.2500
```

Properties
Energy ... -2.93 eV per atom
M_tot ... 0.00 Bohr magnetons per cell
N(E_F) ... 0.31 states/eV/atom


Record 7
The following is a PBE calculation of Li3AgAu3 after structural relaxation, from Alexandria.

Structure (CIF):
```
data_Li3AgAu3
_cell_length_a 11.7308
_cell_length_b 11.7308
_cell_length_c 2.7661
_cell_angle_alpha 90.00
_cell_angle_beta 90.00
_cell_angle_gamma 120.00
_symmetry_space_group_name_H-M 'P 63/m'
_symmetry_Int_Tables_number 176
_symmetry_space_group_name_Hall '-P 6c'
loop_
_atom_site_label
_atom_site_fract_x
_atom_site_fract_y
_atom_site_fract_z
Li1 0.1310 0.7267 0.2500
Ag1 0.3333 0.6667 0.2500
Au1 0.0792 0.4506 0.2500
```

Properties
Energy ... -2.81 eV per atom
M_tot ... 0.00 Bohr magnetons per cell
N(E_F) ... 0.41 states/eV/atom


Record 8
The following is a PBE calculation of Li5AgAu after structural relaxation, from Alexandria.

Structure (CIF):
```
data_Li5AgAu
_cell_length_a 4.2049
_cell_length_b 4.2049
_cell_length_c 6.9794
_cell_angle_alpha 90.00
_cell_angle_beta 90.00
_cell_angle_gamma 90.00
_symmetry_space_group_name_H-M 'P 4/m m m'
_symmetry_Int_Tables_number 123
_symmetry_space_group_name_Hall '-P 4 2'
loop_
_atom_site_label
_atom_site_fract_x
_atom_site_fract_y
_atom_site_fract_z
Li1 0.0000 0.0000 0.0000
Li2 0.0000 0.5000 0.2625
Ag1 0.0000 0.0000 0.5000
Au1 0.5000 0.5000 0.0000
```

Properties
Energy ... -2.48 eV per atom
M_tot ... 0.00 Bohr magnetons per cell
Relative energy among the computed polymorphs ... 0.0071 eV/atom
N(E_F) ... 0.23 states/eV/atom